A relaxed structure of CoAg2Te, computed with PBE.

Structure (POSCAR):
```
CoAg2Te
1.0
-2.1173 2.1173 4.0522
2.1173 -2.1173 4.0522
2.1173 2.1173 -4.0522
Co Ag Te
1 2 1
Direct
0.0000 0.0000 0.0000
0.5000 0.5000 0.0000
0.7500 0.2500 0.5000
0.2500 0.7500 0.5000
```

Calculated values
* spin magnetization: 0.345 μB per atom
* formation energy from raw total energies: 0.3740 eV per atom
* density of states at the Fermi level: 1.094 states/eV/atom